(1)
Material: NbTlS3
Method: DFT, PBE
State: relaxed

Cell and atoms, written as CIF:
```
data_NbTlS3
_chemical_formula_sum 'Nb1 Tl1 S3'
_space_group_name_H-M_alt 'P 1'
_space_group_IT_number 1
_space_group_name_Hall 'P 1'
_cell_length_a 5.004
_cell_length_b 5.004
_cell_length_c 5.004
_cell_angle_alpha 90.00
_cell_angle_beta 90.00
_cell_angle_gamma 90.00
loop_
_atom_site_label
_atom_site_type_symbol
_atom_site_fract_x
_atom_site_fract_y
_atom_site_fract_z
Nb1 Nb 0.500 0.500 0.500
Tl1 Tl 0.000 0.000 0.000
S1 S 0.000 0.000 0.500
S2 S 0.000 0.500 0.000
S3 S 0.500 0.000 0.000
```

Calculated values
The space group is Pm-3m, No. 221. The calculation puts the raw formation energy at 503 kJ/mol of formula units. The crystal system is cubic. The relative energy among the computed polymorphs is 1736 meV/atom.

=====

(2)
Material: Tb5YHoTh2
Method: DFT, PBE
State: relaxed

Cell and atoms, written as CIF:
```
data_Tb5YHoTh2
_chemical_formula_sum 'Tb10 Y2 Ho2 Th4'
_space_group_name_H-M_alt 'P 1'
_space_group_IT_number 1
_space_group_name_Hall 'P 1'
_cell_length_a 8.728
_cell_length_b 8.728
_cell_length_c 9.972
_cell_angle_alpha 115.95
_cell_angle_beta 115.95
_cell_angle_gamma 90.00
loop_
_atom_site_label
_atom_site_type_symbol
_atom_site_fract_x
_atom_site_fract_y
_atom_site_fract_z
Ho1 Ho 0.750 0.750 0.500
Tb1 Tb 0.000 0.000 0.000
Th1 Th 0.880 0.620 0.000
Tb2 Tb 0.500 0.500 0.000
Y1 Y 0.250 0.750 0.500
Th2 Th 0.120 0.380 0.000
Th3 Th 0.380 0.880 0.000
Y2 Y 0.750 0.250 0.500
Tb3 Tb 0.648 0.148 0.720
Tb4 Tb 0.852 0.928 0.280
Tb5 Tb 0.928 0.428 0.280
Tb6 Tb 0.072 0.572 0.720
Tb7 Tb 0.148 0.072 0.720
Tb8 Tb 0.428 0.352 0.280
Ho2 Ho 0.250 0.250 0.500
Tb9 Tb 0.352 0.852 0.280
Th4 Th 0.620 0.120 0.000
Tb10 Tb 0.572 0.648 0.720
```

Calculated values
The space group is I4/mcm, No. 140. The calculated formation energy comes out at 0.339 eV/atom. The crystal system is tetragonal.

=====

(3)
Material: Cs2MgNpCl6
Method: DFT, PBE
State: relaxed

Cell and atoms, written as CIF:
```
data_Cs2MgNpCl6
_chemical_formula_sum 'Cs4 Mg2 Np2 Cl12'
_space_group_name_H-M_alt 'P 1'
_space_group_IT_number 1
_space_group_name_Hall 'P 1'
_cell_length_a 7.629
_cell_length_b 7.648
_cell_length_c 10.793
_cell_angle_alpha 90.00
_cell_angle_beta 90.00
_cell_angle_gamma 90.00
loop_
_atom_site_label
_atom_site_type_symbol
_atom_site_fract_x
_atom_site_fract_y
_atom_site_fract_z
Cl1 Cl 0.238 0.514 0.000
Cs1 Cs 0.000 0.250 0.249
Cl2 Cl 0.500 0.250 0.738
Cl3 Cl 0.500 0.250 0.262
Cl4 Cl 0.762 0.986 0.000
Mg1 Mg 0.000 0.750 0.000
Np1 Np 0.000 0.750 0.500
Cl5 Cl 0.262 0.014 0.500
Cs2 Cs 0.500 0.750 0.749
Mg2 Mg 0.500 0.250 0.500
Cl6 Cl 0.000 0.750 0.762
Cl7 Cl 0.738 0.486 0.500
Cl8 Cl 0.000 0.750 0.238
Cs3 Cs 0.000 0.250 0.751
Np2 Np 0.500 0.250 0.000
Cl9 Cl 0.238 0.986 0.000
Cl10 Cl 0.262 0.486 0.500
Cs4 Cs 0.500 0.750 0.251
Cl11 Cl 0.762 0.514 0.000
Cl12 Cl 0.738 0.014 0.500
```

Calculated values
The space group is Immm, No. 71. The calculation puts the raw formation energy at -1667 kJ/mol of formula units. The crystal system is orthorhombic.

=====

(4)
Material: Y3HPb
Method: DFT, PBE
State: relaxed

Cell and atoms, written as CIF:
```
data_Y3HPb
_chemical_formula_sum 'Y6 H2 Pb2'
_space_group_name_H-M_alt 'P 1'
_space_group_IT_number 1
_space_group_name_Hall 'P 1'
_cell_length_a 7.021
_cell_length_b 6.773
_cell_length_c 5.285
_cell_angle_alpha 90.00
_cell_angle_beta 90.00
_cell_angle_gamma 103.92
loop_
_atom_site_label
_atom_site_type_symbol
_atom_site_fract_x
_atom_site_fract_y
_atom_site_fract_z
Y1 Y 0.712 0.877 0.172
H1 H 0.309 0.386 0.418
H2 H 0.628 0.620 0.918
Y2 Y 0.875 0.629 0.662
Y3 Y 0.224 0.129 0.672
Pb1 Pb 0.743 0.139 0.673
Pb2 Pb 0.193 0.867 0.173
Y4 Y 0.390 0.657 0.665
Y5 Y 0.547 0.349 0.165
Y6 Y 0.061 0.377 0.162
```

Calculated values
The space group is P2_1, No. 4. The crystal system is monoclinic. The relative energy among the computed polymorphs is 0 meV/atom.